Computed, not measured: Rb2Hg3Au after structural relaxation at the PBE level of DFT.

```
Rb2Hg3Au
1.0
4.597 0.000 0.000
0.000 5.218 0.000
0.000 0.000 9.071
Rb Hg Au
2 3 1
direct
0.000 0.000 0.000
0.000 0.500 0.470
0.500 0.000 0.636
0.500 0.500 0.160
0.500 0.500 0.818
0.500 0.000 0.314
```

Computed properties:
Its excess energy over the best structure of this formula in the dataset is 0.0147 eV/atom. The final energy is -1.272 eV/atom. The energy of formation from the pure elements comes out at -0.252 eV per atom.


Computed, not measured: BaCaCr after structural relaxation at the PBE level of DFT.

```
BaCaCr
1.0
4.314 0.000 0.000
2.155 3.738 0.000
2.148 -1.233 14.780
Ba Ca Cr
2 2 2
direct
0.083 0.211 0.125
0.917 0.789 0.875
0.409 0.045 0.638
0.591 0.955 0.362
0.167 0.666 0.499
0.833 0.334 0.501
```

Computed properties:
Its excess energy over the best structure of this formula in the dataset is 0.0000 eV/atom. The final energy is -4.195 eV/atom. The energy of formation from the pure elements comes out at 0.320 eV per atom.


Computed, not measured: Zr4Ni3Rh after structural relaxation at the PBE level of DFT.

```
Zr4Ni3Rh
1.0
3.358 0.000 0.000
0.000 4.119 0.000
0.000 0.000 10.053
Zr Ni Rh
4 3 1
direct
0.000 0.000 0.000
0.000 0.500 0.275
0.500 0.000 0.492
0.500 0.500 0.779
0.000 0.500 0.544
0.500 0.000 0.219
0.500 0.500 0.056
0.000 0.000 0.723
```

Computed properties:
The final energy is -7.893 eV/atom. The energy of formation from the pure elements comes out at -0.532 eV per atom.


Computed, not measured: Cs3SmDy3Te8 after structural relaxation at the PBE level of DFT.

```
Cs3SmDy3Te8
1.0
4.448 2.568 9.198
-4.448 2.568 9.198
0.000 -5.136 9.198
Cs Sm Dy Te
3 1 3 8
direct
0.000 0.500 0.500
0.500 0.000 0.500
0.500 0.500 0.000
0.500 0.500 0.500
0.000 0.000 0.500
0.000 0.500 0.000
0.500 0.000 0.000
0.223 0.734 0.734
0.230 0.230 0.230
0.266 0.266 0.777
0.266 0.777 0.266
0.734 0.223 0.734
0.734 0.734 0.223
0.770 0.770 0.770
0.777 0.266 0.266
```

Computed properties:
The calculation puts the uncorrected formation energy at -1.33 eV/atom. The final energy is -4.410 eV/atom.


Computed, not measured: Nd12Er2Tm5 after structural relaxation at the PBE level of DFT.

```
Nd12Er2Tm5
1.0
6.518 -5.852 0.000
6.518 5.852 0.000
-4.378 0.000 8.413
Nd Er Tm
12 2 5
direct
0.024 0.549 0.689
0.062 0.062 0.285
0.142 0.657 0.097
0.343 0.858 0.903
0.400 0.400 0.577
0.451 0.976 0.311
0.549 0.024 0.689
0.600 0.600 0.423
0.657 0.142 0.097
0.858 0.343 0.903
0.938 0.938 0.715
0.976 0.451 0.311
0.215 0.785 0.500
0.785 0.215 0.500
0.198 0.198 0.732
0.278 0.278 0.137
0.500 0.500 0.000
0.722 0.722 0.863
0.802 0.802 0.268
```

Computed properties:
Its excess energy over the best structure of this formula in the dataset is 0.0000 eV/atom. The final energy is -4.558 eV/atom. The energy of formation from the pure elements comes out at 0.110 eV per atom.


Computed, not measured: Sr3GeW after structural relaxation at the PBE level of DFT.

```
Sr3GeW
1.0
6.012 0.000 0.000
0.000 6.012 0.000
0.000 0.000 6.012
Sr Ge W
3 1 1
direct
0.000 0.000 0.500
0.000 0.500 0.000
0.500 0.000 0.000
0.000 0.000 0.000
0.500 0.500 0.500
```

Computed properties:
Its excess energy over the best structure of this formula in the dataset is 0.0000 eV/atom. The final energy is -3.590 eV/atom. The energy of formation from the pure elements comes out at 0.933 eV per atom.


Computed, not measured: MnAgBr2 after structural relaxation at the PBE level of DFT.

```
MnAgBr2
1.0
2.092 -2.987 0.000
2.092 2.987 0.000
0.000 0.000 8.350
Mn Ag Br
1 1 2
direct
0.000 0.000 0.000
0.500 0.500 0.792
0.000 0.000 0.602
0.500 0.500 0.184
```

Computed properties:
Its excess energy over the best structure of this formula in the dataset is 0.1419 eV/atom. The calculation puts the uncorrected formation energy at -0.10 eV/atom. The final energy is -3.937 eV/atom.


Computed, not measured: SrNpIr4 after structural relaxation at the PBE level of DFT.

```
SrNpIr4
1.0
0.000 3.820 3.820
3.820 0.000 3.820
3.820 3.820 0.000
Sr Np Ir
1 1 4
direct
0.000 0.000 0.000
0.750 0.750 0.750
0.375 0.375 0.375
0.375 0.375 0.875
0.375 0.875 0.375
0.875 0.375 0.375
```

Computed properties:
The final energy is -8.662 eV/atom. The energy of formation from the pure elements comes out at -0.318 eV per atom.


Computed, not measured: SrLi4AgAu2 after structural relaxation at the PBE level of DFT.

```
SrLi4AgAu2
1.0
2.251 1.300 8.876
-2.251 1.300 8.876
0.000 -2.600 8.876
Sr Li Ag Au
1 4 1 2
direct
0.000 0.000 0.000
0.135 0.135 0.135
0.406 0.406 0.406
0.594 0.594 0.594
0.865 0.865 0.865
0.500 0.500 0.500
0.244 0.244 0.244
0.756 0.756 0.756
```

Computed properties:
The final energy is -2.724 eV/atom. The energy of formation from the pure elements comes out at -0.382 eV per atom.


Computed, not measured: LuZrNiAg after structural relaxation at the PBE level of DFT.

```
LuZrNiAg
1.0
0.000 3.390 3.390
3.390 0.000 3.390
3.390 3.390 0.000
Lu Zr Ni Ag
1 1 1 1
direct
0.000 0.000 0.000
0.500 0.500 0.500
0.750 0.750 0.750
0.250 0.250 0.250
```

Computed properties:
The final energy is -5.623 eV/atom. The energy of formation from the pure elements comes out at -0.198 eV per atom.


Computed, not measured: Rb4SnTe5 after structural relaxation at the PBE level of DFT.

```
Rb4SnTe5
1.0
-5.677 5.677 3.768
5.677 -5.677 3.768
5.677 5.677 -3.768
Rb Sn Te
4 1 5
direct
0.082 0.298 0.380
0.298 0.918 0.215
0.702 0.082 0.785
0.918 0.702 0.620
0.614 0.614 0.000
0.266 0.569 0.841
0.425 0.266 0.697
0.569 0.728 0.303
0.728 0.425 0.159
0.979 0.979 0.000
```

Computed properties:
The calculation puts the uncorrected formation energy at -0.57 eV/atom. The final energy is -2.927 eV/atom.


Computed, not measured: LiHfAlCo after structural relaxation at the PBE level of DFT.

```
LiHfAlCo
1.0
0.000 3.053 3.053
3.053 0.000 3.053
3.053 3.053 0.000
Li Hf Al Co
1 1 1 1
direct
0.000 0.000 0.000
0.250 0.250 0.250
0.750 0.750 0.750
0.500 0.500 0.500
```

Computed properties:
The final energy is -6.034 eV/atom. The energy of formation from the pure elements comes out at -0.355 eV per atom.